Density functional theory data (GGA+U) for crystalline Li2WO at its relaxed geometry. Values from VASP.

Cell and atoms, written as Quantum ESPRESSO input:
```
&SYSTEM
  ibrav = 0, nat = 16, ntyp = 3
/
ATOMIC_SPECIES
Li 6.94 Li.upf
W 183.84 W.upf
O 16.00 O.upf
CELL_PARAMETERS angstrom
7.347 0.000 0.000
0.000 7.347 0.000
0.000 0.000 4.418
ATOMIC_POSITIONS angstrom
Li 0.843 5.510 0.552
Li 1.837 0.843 3.866
Li 1.837 2.831 1.657
Li 2.831 5.510 2.762
Li 4.516 1.837 2.762
Li 5.510 4.516 1.657
Li 5.510 6.504 3.866
Li 6.504 1.837 0.552
W 0.000 0.000 2.209
W 0.000 3.674 3.314
W 3.674 0.000 1.105
W 3.674 3.674 0.000
O 0.000 0.000 0.000
O 0.000 3.674 1.105
O 3.674 0.000 3.314
O 3.674 3.674 2.209
```

- DOS(E_F): 2.2 states/eV/cell
- Calculated total energy: -0.3200 Ry per atom